Below is a relaxed GdLuOs2 crystal, with properties calculated at the PBE level.

Lattice parameters (Å, degrees): 4.7869 4.7869 3.3908 90.00 90.00 90.00
With the nearest neighbours (Å) after each atom.
Fractional coordinates of all 4 atoms:
Gd 0.0000 0.0000 0.0000  8 Os 2.93
Lu 0.5000 0.5000 0.0000  8 Os 2.93
Os 0.0000 0.5000 0.5000  4 Gd 2.93, 4 Lu 2.93
Os 0.5000 0.0000 0.5000  4 Gd 2.93, 4 Lu 2.93

calculated formation energy: -0.057 eV/atom

Below is a relaxed Ga2ReNiPb crystal, with properties calculated at the PBE level.

Lattice parameters (Å, degrees): 4.5097 4.5097 4.7504 90.00 90.00 90.00
With the nearest neighbours (Å) after each atom.
Fractional coordinates of all 5 atoms:
Ga 0.0000 0.5000 0.0000  2 Ni 2.25
Ga 0.5000 0.0000 0.0000  2 Ni 2.25
Re 0.0000 0.0000 0.5000  2 Ni 2.38
Ni 0.0000 0.0000 0.0000  4 Ga 2.25, 2 Re 2.38
Pb 0.5000 0.5000 0.5000  4 Re 3.19, 8 Ga 3.28

calculated formation energy: 0.679 eV/atom

Below is a relaxed Cd2WBr crystal, with properties calculated at the PBE level.

Lattice parameters (Å, degrees): 3.0383 3.0383 9.1933 90.00 90.00 90.00
With the nearest neighbours (Å) after each atom.
Fractional coordinates of all 4 atoms:
Cd 0.0000 0.0000 0.2233  4 W 2.97, 4 Cd 3.04
Cd 0.0000 0.0000 0.7767  4 W 2.97, 4 Cd 3.04
W 0.5000 0.5000 0.0000  8 Cd 2.97, 4 W 3.04
Br 0.5000 0.5000 0.5000  4 Br 3.04, 8 Cd 3.33

formation energy (no corrections): 0.54 eV per atom